Entry 1:
Computed, not measured: an optimized crystal structure of CaBeRe2 at the PBEsol level of DFT.

Results
Energy relative to the elements = 2.58 eV/f.u.
Uncorrected energy = -30.22 eV/cell

Unit cell a=2.7531 b=2.7531 c=9.2602 alpha=81.45 beta=81.45 gamma=60.00
With the nearest neighbours (Å) after each atom.
Fractional positions:
1 Ca 0.0000 0.0000 0.0000  6 Ca 2.75, 6 Re 3.07
2 Re 0.2376 0.2376 0.2873  3 Be 2.51, 6 Re 2.75
3 Re 0.7624 0.7624 0.7127  3 Be 2.51, 6 Re 2.75
4 Be 0.5000 0.5000 0.5000  6 Re 2.51, 6 Be 2.75

---

Entry 2:
Computed, not measured: an optimized crystal structure of Rb2CaSiF at the PBEsol level of DFT.

Results
Uncorrected energy = -14.56 eV/cell

Unit cell a=4.9105 b=4.9105 c=7.3807 alpha=90.00 beta=90.00 gamma=90.00
With the nearest neighbours (Å) after each atom.
Fractional positions:
1 Rb 0.0000 0.5000 0.0000  2 F 2.46
2 Rb 0.5000 0.0000 0.0000  2 F 2.46
3 Si 0.0000 0.0000 0.5000  4 Ca 3.47, 2 F 3.69
4 F 0.0000 0.0000 0.0000  4 Rb 2.46
5 Ca 0.5000 0.5000 0.5000  4 Si 3.47

---

Entry 3:
Computed, not measured: an optimized crystal structure of SnBiTeI2 at the PBEsol level of DFT.

Results
Uncorrected energy = -14.19 eV/cell

Unit cell a=5.9417 b=5.9417 c=5.9321 alpha=90.00 beta=90.00 gamma=90.00
With the nearest neighbours (Å) after each atom.
Fractional positions:
1 Sn 0.5000 0.5000 0.5000  8 I 4.20, 4 Te 4.20
2 I 0.5000 0.0000 0.0000  2 Bi 2.97
3 I 0.0000 0.5000 0.0000  2 Bi 2.97
4 Bi 0.0000 0.0000 0.0000  2 Te 2.97, 4 I 2.97
5 Te 0.0000 0.0000 0.5000  2 Bi 2.97

---

Entry 4:
Computed, not measured: an optimized crystal structure of SrRu3 at the PBEsol level of DFT.

Results
Energy relative to the elements = 2.46 eV/f.u.
Uncorrected energy = -29.90 eV/cell

Unit cell a=2.8254 b=2.8254 c=8.3666 alpha=90.00 beta=90.00 gamma=90.00
With the nearest neighbours (Å) after each atom.
Fractional positions:
1 Ru 0.0000 0.0000 0.7017  8 Ru 2.62-2.83
2 Ru 0.5000 0.5000 0.5000  12 Ru 2.62-2.83
3 Ru 0.0000 0.0000 0.2983  8 Ru 2.62-2.83
4 Sr 0.5000 0.5000 0.0000  4 Sr 2.83

---

Entry 5:
Computed, not measured: an optimized crystal structure of Na2In2Au at the PBEsol level of DFT.

Results
Energy relative to the elements = -0.79 eV/f.u.
Uncorrected energy = -26.95 eV/cell

Unit cell a=5.1080 b=7.0936 c=7.0936 alpha=90.00 beta=90.00 gamma=90.00
With the nearest neighbours (Å) after each atom.
Fractional positions:
1 Na 0.5000 0.6725 0.8275  6 In 3.15-3.40, 1 Na 3.46
2 Na 0.5000 0.8275 0.3275  6 In 3.15-3.40, 1 Na 3.46
3 Na 0.5000 0.1725 0.6725  6 In 3.15-3.40, 1 Na 3.46
4 Na 0.5000 0.3275 0.1725  6 In 3.15-3.40, 1 Na 3.46
5 Au 0.0000 0.5000 0.5000  4 In 2.73
6 Au 0.0000 0.0000 0.0000  4 In 2.73
7 In 0.0000 0.3570 0.8570  2 Au 2.73, 1 In 2.87
8 In 0.0000 0.6430 0.1430  2 Au 2.73, 1 In 2.87
9 In 0.0000 0.1430 0.3570  2 Au 2.73, 1 In 2.87
10 In 0.0000 0.8570 0.6430  2 Au 2.73, 1 In 2.87

---

Entry 6:
Computed, not measured: an optimized crystal structure of NaMnGeS2 at the PBEsol level of DFT.

Results
Uncorrected energy = -21.54 eV/cell

Unit cell a=4.8323 b=4.8323 c=4.9434 alpha=90.00 beta=90.00 gamma=90.00
With the nearest neighbours (Å) after each atom.
Fractional positions:
1 S 0.5000 0.0000 0.0000  2 Ge 2.42
2 S 0.0000 0.5000 0.0000  2 Ge 2.42
3 Na 0.0000 0.0000 0.5000  2 Ge 2.47
4 Ge 0.0000 0.0000 0.0000  4 S 2.42, 2 Na 2.47
5 Mn 0.5000 0.5000 0.5000  4 Na 3.42, 8 S 3.46

---

Entry 7:
Computed, not measured: an optimized crystal structure of CdPb2Au2 at the PBEsol level of DFT.

Results
Energy relative to the elements = -0.21 eV/f.u.
Energy relative to the lowest polymorph listed for this composition = 0 meV per atom
Uncorrected energy = -34.51 eV/cell

Unit cell a=4.3434 b=7.3117 c=7.3117 alpha=90.00 beta=90.00 gamma=90.00
With the nearest neighbours (Å) after each atom.
Fractional positions:
1 Au 0.0000 0.3628 0.8628  2 Cd 2.84, 1 Au 2.84, 6 Pb 2.97-3.12
2 Au 0.0000 0.1372 0.3628  2 Cd 2.84, 1 Au 2.84, 6 Pb 2.97-3.12
3 Au 0.0000 0.6372 0.1372  2 Cd 2.84, 1 Au 2.84, 6 Pb 2.97-3.12
4 Au 0.0000 0.8628 0.6372  2 Cd 2.84, 1 Au 2.84, 6 Pb 2.97-3.12
5 Cd 0.0000 0.5000 0.5000  4 Au 2.84
6 Cd 0.0000 0.0000 0.0000  4 Au 2.84
7 Pb 0.5000 0.1669 0.6669  6 Au 2.97-3.12
8 Pb 0.5000 0.6669 0.8331  6 Au 2.97-3.12
9 Pb 0.5000 0.3331 0.1669  6 Au 2.97-3.12
10 Pb 0.5000 0.8331 0.3331  6 Au 2.97-3.12

---

Entry 8:
Computed, not measured: an optimized crystal structure of LiMgZn4 at the PBEsol level of DFT.

Results
Energy relative to the elements = -1.04 eV/f.u.
Uncorrected energy = -11.05 eV/cell

Unit cell a=5.0730 b=5.0730 c=5.0730 alpha=60.00 beta=60.00 gamma=60.00
With the nearest neighbours (Å) after each atom.
Fractional positions:
1 Zn 0.3753 0.8741 0.3753  6 Zn 2.53-2.54
2 Zn 0.3753 0.3753 0.3753  6 Zn 2.53-2.54
3 Zn 0.3753 0.3753 0.8741  6 Zn 2.53-2.54
4 Zn 0.8741 0.3753 0.3753  6 Zn 2.53-2.54
5 Mg 0.0000 0.0000 0.0000  12 Zn 2.97, 4 Li 3.11
6 Li 0.7500 0.7500 0.7500  12 Zn 2.97, 4 Mg 3.11

---

Entry 9:
Computed, not measured: an optimized crystal structure of MgCd2P at the PBEsol level of DFT.

Results
Energy relative to the elements = 0.81 eV/f.u.
Uncorrected energy = -9.09 eV/cell

Unit cell a=4.8408 b=4.8408 c=4.8408 alpha=60.00 beta=60.00 gamma=60.00
With the nearest neighbours (Å) after each atom.
Fractional positions:
1 Mg 0.0000 0.0000 0.0000  8 Cd 2.96
2 P 0.5000 0.5000 0.5000  8 Cd 2.96
3 Cd 0.2500 0.2500 0.2500  4 Mg 2.96, 4 P 2.96
4 Cd 0.7500 0.7500 0.7500  4 Mg 2.96, 4 P 2.96

---

Entry 10:
Computed, not measured: an optimized crystal structure of YSc2Au at the PBEsol level of DFT.

Results
Energy relative to the elements = -1.72 eV/f.u.
Energy relative to the lowest polymorph listed for this composition = 0 meV per atom
Uncorrected energy = -25.68 eV/cell

Unit cell a=3.4846 b=4.9837 c=6.1038 alpha=114.09 beta=106.59 gamma=90.00
With the nearest neighbours (Å) after each atom.
Fractional positions:
1 Au 0.0000 0.5000 0.0000  4 Sc 2.85, 4 Y 3.04
2 Sc 0.7134 0.7134 0.4269  2 Au 2.85, 4 Sc 3.14
3 Sc 0.2866 0.2866 0.5731  2 Au 2.85, 4 Sc 3.14
4 Y 0.5000 0.0000 0.0000  4 Au 3.04, 4 Sc 3.36

---

Entry 11:
Computed, not measured: an optimized crystal structure of SrMgSi3 at the PBEsol level of DFT.

Results
Uncorrected energy = -13.14 eV/cell

Unit cell a=5.3525 b=5.3525 c=5.3525 alpha=90.00 beta=90.00 gamma=90.00
With the nearest neighbours (Å) after each atom.
Fractional positions:
1 Si 0.0000 0.0000 0.5000  2 Sr 2.68
2 Si 0.0000 0.5000 0.0000  2 Sr 2.68
3 Si 0.5000 0.0000 0.0000  2 Sr 2.68
4 Sr 0.0000 0.0000 0.0000  6 Si 2.68
5 Mg 0.5000 0.5000 0.5000  12 Si 3.78

---

Entry 12:
Computed, not measured: an optimized crystal structure of Al2ZnP at the PBEsol level of DFT.

Results
Energy relative to the elements = 0.48 eV/f.u.
Energy relative to the lowest polymorph listed for this composition = 64 meV per atom
Uncorrected energy = -15.08 eV/cell

Unit cell a=2.9832 b=2.9832 c=6.9893 alpha=90.00 beta=90.00 gamma=90.00
With the nearest neighbours (Å) after each atom.
Fractional positions:
1 Zn 0.5000 0.5000 0.7336  4 P 2.71, 4 Al 2.80, 4 Zn 2.98
2 P 0.0000 0.0000 0.4910  4 Al 2.58, 4 Zn 2.71
3 Al 0.5000 0.5000 0.2778  4 P 2.58, 4 Al 2.88
4 Al 0.0000 0.0000 0.9976  4 Zn 2.80, 8 Al 2.88-2.98

---

| no. | calculated volume (Å³/atom) |
| --- | --- |
| 1 | 15.0 |
| 2 | 35.6 |
| 3 | 41.9 |
| 4 | 16.7 |
| 5 | 25.7 |
| 6 | 23.1 |
| 7 | 23.2 |
| 8 | 15.4 |
| 9 | 20.1 |
| 10 | 23.0 |
| 11 | 30.7 |
| 12 | 15.6 |